No. 1
Material: TiZnPt3
Method: DFT, PBE
State: optimized geometry

Summary:
DOS(E_F): 3.88 states/eV per cell
Energy above the lowest structure with this stoichiometry: 26.80 kcal/mol of atoms
Energy of formation: 0.5625 eV per atom

```
TiZnPt3
1.0
4.696 0.000 0.000
0.000 4.696 0.000
0.000 0.000 4.696
Ti Pt Zn
1 3 1
Direct
0.000 0.000 0.000
0.500 0.000 0.000
0.000 0.000 0.500
0.000 0.500 0.000
0.500 0.500 0.500
```

---

No. 2
Material: TiZn2Pt9
Method: DFT, PBE
State: optimized geometry

Summary:
DOS(E_F): 11.87 states/eV per cell
Energy of formation: -0.5443 eV per atom

```
TiZn2Pt9
1.0
3.933 0.000 0.000
0.000 3.933 0.000
0.000 0.000 11.804
Pt Zn Ti
9 2 1
Direct
0.500 0.000 0.836
0.000 0.500 0.836
0.500 0.500 0.668
0.500 0.000 0.500
0.500 0.500 0.000
0.000 0.500 0.500
0.500 0.500 0.332
0.000 0.500 0.164
0.500 0.000 0.164
0.000 0.000 0.337
0.000 0.000 0.663
0.000 0.000 0.000
```